Record 1
The following is a DFT calculation (PBE-GGA) of a relaxed structure of LiTl2Rh.

Structure (extended XYZ):
```
4
Lattice="0.000 3.358 3.358 3.358 0.000 3.358 3.358 3.358 0.000" Properties=species:S:1:pos:R:3 pbc="T T T"
Tl 1.679 1.679 1.679
Tl 5.036 5.036 5.036
Rh 3.358 3.358 3.358
Li 0.000 0.000 0.000
```

Record 2
The following is a DFT calculation (PBE-GGA) of a relaxed structure of LiTlRh.

Structure (extended XYZ):
```
3
Lattice="4.358 0.000 0.000 -2.179 3.774 0.000 0.000 0.000 3.024" Properties=species:S:1:pos:R:3 pbc="T T T"
Tl 0.000 2.516 2.133
Rh 2.179 1.258 0.793
Li 0.000 0.000 0.098
```

Record 3
The following is a DFT calculation (PBE-GGA) of a relaxed structure of Li3Tl2Rh.

Structure (extended XYZ):
```
12
Lattice="4.435 0.000 1.062 1.719 6.715 2.612 0.583 0.114 7.352" Properties=species:S:1:pos:R:3 pbc="T T T"
Li 0.914 0.996 5.973
Li 5.823 5.833 5.053
Li 4.777 6.088 9.420
Li 1.960 0.740 1.607
Li 5.334 4.057 7.098
Li 1.404 2.772 3.928
Tl 4.240 2.300 1.878
Tl 2.498 4.529 9.149
Tl 3.569 1.156 4.676
Tl 3.168 5.672 6.351
Rh 3.043 2.694 6.871
Rh 3.694 4.135 4.155
```

Record 4
The following is a DFT calculation (PBE-GGA) of a relaxed structure of LiTl2Rh.

Structure (extended XYZ):
```
8
Lattice="7.500 0.000 0.000 0.000 7.500 0.000 3.750 3.750 3.065" Properties=species:S:1:pos:R:3 pbc="T T T"
Tl 5.673 1.875 0.766
Tl 1.828 5.625 0.766
Tl 5.625 5.578 2.299
Tl 9.375 9.423 2.299
Rh 0.000 0.000 0.000
Rh 7.500 3.750 1.533
Li 3.750 3.750 0.000
Li 3.750 7.500 1.533
```

Record 5
The following is a DFT calculation (PBE-GGA) of a relaxed structure of LiTl2Rh.

Structure (extended XYZ):
```
4
Lattice="-3.598 0.598 -3.060 -4.732 -0.501 -0.145 -1.660 5.187 1.311" Properties=species:S:1:pos:R:3 pbc="T T T"
Li -7.493 3.963 -1.420
Rh -2.498 1.321 -0.473
Tl -8.286 0.148 -3.168
Tl -5.040 2.591 -0.983
```

Record 6
The following is a DFT calculation (PBE-GGA) of a relaxed structure of LiTlRh.

Structure (extended XYZ):
```
12
Lattice="5.246 0.000 0.000 0.000 5.153 0.000 0.000 0.000 7.967" Properties=species:S:1:pos:R:3 pbc="T T T"
Rh 2.211 4.257 2.407
Rh 4.835 3.473 5.561
Rh 3.035 1.681 1.577
Rh 0.412 0.896 6.390
Li 3.558 4.384 0.054
Li 0.935 3.346 7.914
Li 1.688 1.807 3.930
Li 4.311 0.769 4.038
Tl 4.802 3.404 2.803
Tl 2.179 4.326 5.165
Tl 0.445 0.827 1.181
Tl 3.068 1.750 6.786
```

Record 7
The following is a DFT calculation (PBE-GGA) of a relaxed structure of Li3TlRh.

Structure (extended XYZ):
```
10
Lattice="-3.322 -2.550 1.466 1.682 -5.141 -5.130 3.413 -2.415 3.540" Properties=species:S:1:pos:R:3 pbc="T T T"
Li 1.322 -5.854 -3.833
Li 0.451 -4.252 3.709
Li 0.699 -3.948 -1.931
Li 1.074 -6.158 1.808
Li 3.020 -6.322 -0.800
Li -1.247 -3.784 0.676
Tl 0.378 -6.904 -1.082
Tl 1.395 -3.203 0.959
Rh 2.130 -8.143 0.734
Rh -0.358 -1.963 -0.858
```

Record 8
The following is a DFT calculation (PBE-GGA) of a relaxed structure of Li3Tl3Rh2.

Structure (extended XYZ):
```
8
Lattice="-0.275 -3.088 0.561 4.984 -1.424 -5.393 2.306 1.073 7.035" Properties=species:S:1:pos:R:3 pbc="T T T"
Li 5.398 -0.260 1.216
Li 1.293 -0.369 -1.399
Li 0.598 0.279 1.825
Tl 2.654 -1.678 0.909
Tl 2.938 -2.423 -3.048
Tl 1.286 -0.882 4.622
Rh 3.199 0.241 2.892
Rh 4.091 -0.591 -1.251
```

Record 9
The following is a DFT calculation (PBE-GGA) of a relaxed structure of Li6Tl2Rh.

Structure (extended XYZ):
```
9
Lattice="-0.026 0.684 -2.794 7.622 -1.899 -0.537 -5.490 -6.115 1.413" Properties=species:S:1:pos:R:3 pbc="T T T"
Li 0.648 -1.957 -2.019
Li 3.853 -5.969 -0.068
Li 1.458 -5.372 0.101
Li 2.381 -0.255 -1.566
Li -1.747 -1.361 -1.851
Li 5.215 -0.960 -1.765
Tl 3.242 -3.078 -0.819
Tl -1.136 -4.251 -1.099
Rh 0.000 0.000 0.000
```

Record 10
The following is a DFT calculation (PBE-GGA) of a relaxed structure of Li6Tl5Rh.

Structure (extended XYZ):
```
12
Lattice="-1.550 -2.883 -3.197 2.523 -4.650 6.245 -6.041 5.348 1.381" Properties=species:S:1:pos:R:3 pbc="T T T"
Tl -5.592 2.477 0.478
Tl -3.243 2.081 2.970
Tl -2.534 -1.093 2.215
Tl -0.275 -1.384 4.656
Tl 0.524 -4.663 3.951
Rh 0.000 0.000 0.000
Li -2.579 1.064 0.291
Li -5.211 -0.072 2.592
Li -2.076 -2.003 -0.462
Li -2.991 -0.183 4.891
Li 0.143 -2.114 1.837
Li -2.489 -3.249 4.138
```

Record 11
The following is a DFT calculation (PBE-GGA) of a relaxed structure of Li8Tl6Rh.

Structure (extended XYZ):
```
15
Lattice="-2.738 5.073 5.050 -7.252 -0.533 2.420 -1.557 -2.039 7.020" Properties=species:S:1:pos:R:3 pbc="T T T"
Li -3.361 2.582 6.328
Li -4.628 3.044 9.221
Li -3.831 -0.565 6.078
Li -6.234 2.173 6.068
Li -5.313 0.328 8.421
Li -7.716 3.066 8.412
Li -6.918 -0.543 5.269
Li -8.186 -0.081 8.162
Tl -9.581 0.059 10.534
Tl -2.236 -0.311 1.902
Tl -4.943 0.718 3.769
Tl -6.603 1.783 10.721
Tl -9.311 2.812 12.587
Tl -1.966 2.442 3.956
Rh 0.000 0.000 0.000
```

Record 12
The following is a DFT calculation (PBE-GGA) of a relaxed structure of LiTlRh.

Structure (extended XYZ):
```
6
Lattice="0.919 3.231 2.854 1.581 -1.689 4.807 5.208 0.758 0.868" Properties=species:S:1:pos:R:3 pbc="T T T"
Li 1.925 2.518 3.337
Li 5.783 -0.217 5.191
Tl 2.958 0.545 5.238
Tl 4.751 1.755 3.291
Rh 2.357 0.271 2.338
Rh 5.352 2.030 6.190
```

For each record above, in turn, the calculated ΔE_f values are -0.12, -0.11, -0.15, 0.17, 0.00, -0.06, -0.13, -0.14, -0.13, -0.19, -0.15, -0.03 eV/atom.
For each record above, in turn, the calculated theoretical density values are 11.4, 10.5, 8.3, 10.0, 10.6, 9.7, 6.0, 9.1, 6.0, 8.5, 7.5, 10.4 Mg/m³.